The following is a DFT calculation (GGA-PBE) of a geometry-optimized SmY2Pd structure.

Unit cell a=3.591 b=3.591 c=8.581 alpha=90.00 beta=90.00 gamma=90.00
Space group P4/mmm (No. 123)
Asymmetric unit:
Sm1 0.000 0.000 0.000 [1 per cell]
Y1 0.500 0.500 0.304 [2 per cell]
Pd1 0.000 0.000 0.500 [1 per cell]

Properties
The value obtained for the formation enthalpy at 0 K is -0.4033 eV/atom. The energy above the lowest structure with this stoichiometry is 0.054 eV/atom. The value obtained for the size of the total moment is 0.00 μB per formula unit.